## SrCa2ZnRh (PBE)

Data for an optimized crystal structure of SrCa2ZnRh.

Lattice parameters (Å, degrees): 5.447 5.447 5.790 90.00 90.00 90.00
Space group P4/mmm (No. 123)
Symmetry-distinct sites (fractional):
Sr 0.000 0.000 0.000 x1
Ca 0.000 0.500 0.500 x2
Zn 0.500 0.500 0.000 x1
Rh 0.000 0.000 0.500 x1

Calculated values
- V (Å³/cell) = 171.8
- formation energy (eV/atom) = -0.109
- E above lowest polymorph (kJ per mole of atoms) = 5.9
- size of the total moment (μB/f.u.) = 0.00
- DFT total energy (eV per atom) = -2.97